{
  "formula": "Pt2RhAu",
  "functional": "GGA-PBE",
  "state": "relaxed",
  "formation_enthalpy_0k_ev_per_atom": 0.08,
  "dos_ef_per_ev_atom": 1.747,
  "m_tot_mub_per_atom": 0.00,
  "lattice": [[2.815, 0.000, 0.000], [0.000, 3.909, 0.000], [0.000, 0.000, 5.773]],
  "species": ["Pt", "Pt", "Rh", "Au"],
  "fractional_positions": [[0.000, 0.000, 0.000], [0.500, 0.500, 0.247], [0.000, 0.000, 0.478], [0.500, 0.500, 0.738]]
}